Entry 1:
TiPSe3 PBE optimized geometry; ΔE to the lowest computed polymorph = 0.000 eV per formula unit; crystal system = cubic; M_tot = 1.590 μB/f.u.; volume = 24.0 A^3/atom; energy = -4.54 eV per atom
1.0
4.9336 0.0000 0.0000
0.0000 4.9336 0.0000
0.0000 0.0000 4.9336
Ti P Se
1 1 3
direct
0.0000 0.0000 0.0000
0.5000 0.5000 0.5000
0.0000 0.0000 0.5000
0.0000 0.5000 0.0000
0.5000 0.0000 0.0000



Entry 2:
Ti4P2Se5 PBE optimized geometry; crystal system = orthorhombic; M_tot = 0.000 μB/f.u.; volume = 18.8 A^3/atom; energy = -6.34 eV per atom
1.0
-1.7341 3.4357 8.6819
1.7341 -3.4357 8.6819
1.7341 3.4357 -8.6819
Ti P Se
4 2 5
direct
0.2160 0.2160 0.0000
0.2166 0.5000 0.7166
0.7834 0.5000 0.2834
0.7840 0.7840 0.0000
0.0687 0.0687 0.0000
0.9313 0.9313 0.0000
0.0889 0.3341 0.7548
0.4207 0.6659 0.7548
0.5000 0.0000 0.5000
0.5793 0.3341 0.2452
0.9111 0.6659 0.2452



Entry 3:
TiP3Se PBE optimized geometry; ΔE to the lowest computed polymorph = 2.502 eV per formula unit; crystal system = cubic; M_tot = 0.000 μB/f.u.; volume = 20.1 A^3/atom; energy = -4.55 eV per atom
1.0
4.6503 0.0000 0.0000
0.0000 4.6503 0.0000
0.0000 0.0000 4.6503
Ti P Se
1 3 1
direct
0.0000 0.0000 0.0000
0.0000 0.5000 0.5000
0.5000 0.0000 0.5000
0.5000 0.5000 0.0000
0.5000 0.5000 0.5000



Entry 4:
Ti4PSe5 PBE optimized geometry; crystal system = monoclinic; M_tot = 0.000 μB/f.u.; volume = 20.0 A^3/atom; energy = -6.56 eV per atom
1.0
7.8739 -1.7698 0.0000
7.8739 1.7698 0.0000
-1.4627 0.0000 7.1615
Ti P Se
4 1 5
direct
0.0000 0.0000 0.2302
0.0000 0.0000 0.7698
0.3433 0.3433 0.9265
0.6567 0.6567 0.0735
0.5000 0.5000 0.0000
0.1641 0.1641 0.3274
0.1706 0.1706 0.8215
0.5000 0.5000 0.5000
0.8294 0.8294 0.1785
0.8359 0.8359 0.6726



Entry 5:
Ti2PSe PBE optimized geometry; ΔE to the lowest computed polymorph = 1.339 eV per formula unit; crystal system = cubic; M_tot = 0.000 μB/f.u.; volume = 15.4 A^3/atom; energy = -6.95 eV per atom
1.0
6.2756 0.0000 0.0000
0.0000 6.2756 0.0000
0.0000 0.0000 6.2756
Ti P Se
8 4 4
direct
0.2500 0.2500 0.2500
0.2500 0.2500 0.7500
0.2500 0.7500 0.2500
0.2500 0.7500 0.7500
0.7500 0.2500 0.2500
0.7500 0.2500 0.7500
0.7500 0.7500 0.2500
0.7500 0.7500 0.7500
0.0000 0.0000 0.0000
0.0000 0.5000 0.5000
0.5000 0.0000 0.5000
0.5000 0.5000 0.0000
0.0000 0.0000 0.5000
0.0000 0.5000 0.0000
0.5000 0.0000 0.0000
0.5000 0.5000 0.5000



Entry 6:
TiPSe2 PBE optimized geometry; crystal system = trigonal; M_tot = 0.000 μB/f.u.; volume = 21.0 A^3/atom; energy = -5.44 eV per atom
1.0
3.4226 0.0000 0.0000
-1.7113 2.9640 0.0000
0.0000 0.0000 24.8493
Ti P Se
3 3 6
direct
0.0000 0.0000 0.0000
0.3333 0.6667 0.6667
0.6667 0.3333 0.3333
0.0000 0.0000 0.5000
0.3333 0.6667 0.1667
0.6667 0.3333 0.8333
0.0000 0.0000 0.3981
0.0000 0.0000 0.6019
0.3333 0.6667 0.0648
0.3333 0.6667 0.2686
0.6667 0.3333 0.7314
0.6667 0.3333 0.9352



Listing formation energy without anion corrections for the structures above in their given order: 0.21, -0.90, 0.97, -1.12, -0.78, -0.37 eV per atom.